[1]
Compound: Tm8Pd2Ru
Source: Alexandria
Functional: GGA-PBE
Structure: optimized geometry

Computed properties:
The calculation puts the energy relative to the lowest polymorph listed for this composition at 91.4 meV per atom. The total energy comes out at -59.4 eV per cell. The energy of formation is -0.363 eV per atom.

extended XYZ file:
```
11
Lattice="0.8793 -5.4721 1.6252 5.3085 3.6119 4.1750 -7.2646 1.0067 2.2064" Properties=species:S:1:pos:R:3 pbc="T T T"
Tm 1.6330 -1.8854 2.5443
Tm -1.4411 -2.5223 2.0630
Tm -0.5587 0.7462 2.5810
Tm -3.7871 -3.8682 4.2193
Tm 3.5724 -2.3434 5.3716
Tm -0.5477 -1.4747 5.4496
Tm 0.3296 1.9001 5.9113
Tm -2.7597 1.2600 5.4276
Pd 1.9153 0.1404 4.4290
Pd -3.0271 -0.8837 3.6552
Ru 0.0998 -0.6502 0.2228
```



[2]
Compound: Tm5Pd2Ru
Source: Alexandria
Functional: GGA-PBE
Structure: optimized geometry

Computed properties:
The total energy comes out at -94.2 eV per cell. The energy of formation is -0.633 eV per atom.

extended XYZ file:
```
16
Lattice="4.3059 0.0000 0.0000 0.0000 7.4919 0.0000 0.0000 0.0000 11.7248" Properties=species:S:1:pos:R:3 pbc="T T T"
Tm 0.0000 0.0000 5.8624
Tm 0.0000 3.7459 0.0000
Tm 0.0000 6.3116 2.3914
Tm 0.0000 1.1803 9.3334
Tm 0.0000 4.9263 8.2538
Tm 0.0000 2.5656 3.4710
Tm 2.1529 5.0903 4.8565
Tm 2.1529 2.4016 6.8683
Tm 2.1529 6.1475 10.7189
Tm 2.1529 1.3444 1.0059
Pd 2.1529 4.1428 1.9650
Pd 2.1529 3.3491 9.7598
Pd 2.1529 7.0950 7.8274
Pd 2.1529 0.3969 3.8974
Ru 0.0000 3.7459 5.8624
Ru 0.0000 0.0000 0.0000
```



[3]
Compound: Tm5PdRu4
Source: Alexandria
Functional: GGA-PBE
Structure: optimized geometry

Computed properties:
The total energy comes out at -70.3 eV per cell. The energy of formation is -0.567 eV per atom.

extended XYZ file:
```
10
Lattice="-3.0619 -1.0345 -1.0018 1.2750 -0.8531 -3.0159 3.3159 -15.3863 5.7539" Properties=species:S:1:pos:R:3 pbc="T T T"
Tm -0.5432 -2.5689 -1.4012
Tm 0.1080 -5.5907 -0.2711
Tm 0.7645 -8.6369 0.8681
Tm 1.4210 -11.6832 2.0072
Tm 2.0722 -14.7050 3.1373
Pd 0.0000 0.0000 0.0000
Ru 0.6590 -3.0579 1.1435
Ru 1.3277 -6.1608 2.3039
Ru 1.9882 -9.2255 3.4500
Ru 2.6569 -12.3284 4.6103
```



[4]
Compound: Tm6Pd5Ru
Source: Alexandria
Functional: GGA-PBE
Structure: optimized geometry

Computed properties:
The total energy comes out at -72.6 eV per cell. The energy of formation is -0.877 eV per atom.

extended XYZ file:
```
12
Lattice="1.2619 4.5580 1.2663 0.7511 -2.0066 6.4748 7.6560 0.6606 -0.6834" Properties=species:S:1:pos:R:3 pbc="T T T"
Ru 0.0000 0.0000 0.0000
Tm 4.1224 2.5189 5.7131
Tm 3.7421 3.5350 2.4347
Tm 8.4703 2.4499 1.5303
Tm 1.1987 0.7622 5.5274
Tm 5.9268 -0.3229 4.6230
Tm 5.5465 0.6931 1.3446
Pd 6.3048 2.4779 3.6285
Pd 2.9815 1.7361 0.1922
Pd 0.3755 -1.0033 3.2374
Pd 5.9363 3.4826 0.3907
Pd 3.3641 0.7341 3.4292
```



[5]
Compound: Tm6PdRu5
Source: Alexandria
Functional: GGA-PBE
Structure: optimized geometry

Computed properties:
The total energy comes out at -84.8 eV per cell. The energy of formation is -0.535 eV per atom.

extended XYZ file:
```
12
Lattice="4.5184 -0.0270 1.5090 0.0363 6.7535 0.0121 0.0105 -0.0135 7.5163" Properties=species:S:1:pos:R:3 pbc="T T T"
Ru 3.0350 3.3497 6.0345
Ru 1.5168 -0.0135 2.9915
Ru 0.0182 3.3767 0.0061
Ru 3.0122 -0.0270 6.0338
Ru 1.5303 3.3632 3.0029
Tm 3.7840 5.0202 3.8074
Tm 3.7660 1.6792 3.8014
Tm 2.2685 1.7144 0.7576
Tm 2.2863 5.0120 0.7635
Tm 0.7993 5.0337 5.2360
Tm 0.7813 1.6927 5.2300
Pd 0.0000 0.0000 0.0000
```



[6]
Compound: Tm4Pd2Ru
Source: Alexandria
Functional: GGA-PBE
Structure: optimized geometry

Computed properties:
The total energy comes out at -42.2 eV per cell. The energy of formation is -0.671 eV per atom.

extended XYZ file:
```
7
Lattice="4.7556 0.0000 0.0000 0.0000 5.4691 -2.3582 0.0000 0.3207 5.9472" Properties=species:S:1:pos:R:3 pbc="T T T"
Tm 0.0000 4.3212 2.6787
Tm 0.0000 1.4686 0.9104
Tm 2.3778 0.1603 2.9736
Tm 2.3778 2.7346 -1.1791
Pd 0.0000 4.1672 -0.2580
Pd 0.0000 1.6225 3.8471
Ru 2.3778 2.8949 1.7945
```



[7]
Compound: Tm4PdRu
Source: Alexandria
Functional: GGA-PBE
Structure: optimized geometry

Computed properties:
The calculation puts the energy relative to the lowest polymorph listed for this composition at 0.0 meV per atom. The total energy comes out at -71.2 eV per cell. The energy of formation is -0.543 eV per atom.

extended XYZ file:
```
12
Lattice="-1.4851 -5.8412 -1.5703 7.5185 -0.5711 0.4939 -3.5420 1.6681 6.7562" Properties=species:S:1:pos:R:3 pbc="T T T"
Tm -1.3543 1.2617 5.9901
Tm 1.7875 -3.9742 3.4881
Tm 1.1807 -1.0233 5.6391
Tm 4.3053 -1.5179 4.3083
Tm -1.8139 -3.2262 1.3715
Tm 1.3107 -3.7208 0.0408
Tm 0.7039 -0.7700 2.1918
Tm 3.8457 -6.0058 -0.3102
Pd 3.2450 -2.1644 1.5467
Pd -0.7536 -2.5797 4.1332
Ru -0.3733 -1.4662 -0.3688
Ru 2.8647 -3.2780 6.0486
```



[8]
Compound: Tm8Pd2Ru
Source: Alexandria
Functional: GGA-PBE
Structure: optimized geometry

Computed properties:
The calculation puts the energy relative to the lowest polymorph listed for this composition at 0.0 meV per atom. The total energy comes out at -60.4 eV per cell. The energy of formation is -0.455 eV per atom.

extended XYZ file:
```
11
Lattice="5.0176 0.0000 0.0000 0.0000 6.6868 0.1479 -2.5088 -2.6926 8.0418" Properties=species:S:1:pos:R:3 pbc="T T T"
Tm 0.0000 1.5524 6.6537
Tm 2.5088 5.5887 2.7879
Tm 2.5088 2.9957 4.9288
Tm 2.5088 -1.1458 7.5756
Tm 0.0000 0.9985 3.2610
Tm 0.0000 -1.5945 5.4018
Tm 2.5088 2.4418 1.5361
Tm 0.0000 5.1400 0.6141
Pd 2.5088 0.2510 5.0880
Pd 0.0000 3.7432 3.1017
Ru 2.5088 0.0000 0.0000
```



[9]
Compound: YTmPdRu
Source: Alexandria
Functional: GGA-PBE
Structure: optimized geometry

Computed properties:
The calculation puts the energy relative to the lowest polymorph listed for this composition at 0.0 meV per atom. The total energy comes out at -28.2 eV per cell. The energy of formation is -0.707 eV per atom.

extended XYZ file:
```
4
Lattice="3.4336 0.0000 0.0000 0.0000 3.4336 0.0000 0.0000 0.0000 6.8755" Properties=species:S:1:pos:R:3 pbc="T T T"
Y 1.7168 1.7168 0.8069
Tm 1.7168 1.7168 4.1098
Pd 0.0000 0.0000 5.8398
Ru 0.0000 0.0000 2.4992
```



[10]
Compound: YTmPdRu
Source: Alexandria
Functional: GGA-PBE
Structure: optimized geometry

Computed properties:
The calculation puts the energy relative to the lowest polymorph listed for this composition at 38.2 meV per atom. The total energy comes out at -28.1 eV per cell. The energy of formation is -0.668 eV per atom.

extended XYZ file:
```
4
Lattice="-4.7635 -0.8530 0.3404 -1.6017 -4.4882 0.9080 -1.9753 -1.0457 4.3057" Properties=species:S:1:pos:R:3 pbc="T T T"
Y -2.0851 -1.5967 1.3885
Ru 0.0000 0.0000 0.0000
Tm -6.2553 -4.7902 4.1656
Pd -4.1702 -3.1935 2.7771
```



[11]
Compound: TmZnPdRu
Source: Alexandria
Functional: GGA-PBE
Structure: optimized geometry

Computed properties:
The total energy comes out at -22.0 eV per cell. The energy of formation is -0.451 eV per atom.

extended XYZ file:
```
4
Lattice="-1.5532 -3.7632 2.0519 2.4036 -1.9185 3.3655 -1.5216 0.2070 4.2926" Properties=species:S:1:pos:R:3 pbc="T T T"
Ru -0.5033 -4.1060 7.2825
Zn 0.0000 0.0000 0.0000
Tm -0.3356 -2.7374 4.8550
Pd -0.1678 -1.3687 2.4275
```



[12]
Compound: TmZrPdRu
Source: Alexandria
Functional: GGA-PBE
Structure: optimized geometry

Computed properties:
The total energy comes out at -30.1 eV per cell. The energy of formation is -0.649 eV per atom.

extended XYZ file:
```
4
Lattice="-1.0158 -2.8481 -3.6635 1.1016 -4.6163 0.2037 -3.4431 -3.2480 0.4001" Properties=species:S:1:pos:R:3 pbc="T T T"
Ru -2.5180 -8.0343 -2.2948
Tm -1.6787 -5.3562 -1.5298
Zr 0.0000 0.0000 0.0000
Pd -0.8393 -2.6781 -0.7649
```